Record 1
# Re2AgSb

A relaxed structure of Re2AgSb (PBE, the Alexandria database).

The structure in POSCAR format:
```
Re2AgSb
1.0
2.990 0.000 0.000
-1.495 2.590 0.000
0.000 0.000 26.650
Re Ag Sb
6 3 3
Direct
0.000 0.000 0.246
0.000 0.000 0.754
0.333 0.667 0.420
0.333 0.667 0.913
0.667 0.333 0.087
0.667 0.333 0.580
0.000 0.000 0.000
0.333 0.667 0.667
0.667 0.333 0.333
0.000 0.000 0.500
0.333 0.667 0.167
0.667 0.333 0.833
```

## Properties
SG   R-3m (166)
E_form (uncorrected)   0.82 eV per atom

***

Record 2
# Y2ErInO

A relaxed structure of Y2ErInO (PBE, the Alexandria database).

The structure in POSCAR format:
```
Y2ErInO
1.0
4.812 0.000 0.000
0.000 4.812 0.000
0.000 0.000 4.708
Y Er In O
2 1 1 1
Direct
0.000 0.500 0.000
0.500 0.000 0.000
0.000 0.000 0.500
0.500 0.500 0.500
0.000 0.000 0.000
```

## Properties
SG   P4/mmm (123)
E_form (uncorrected)   -1.43 eV per atom

***

Record 3
# NaH2Br

A relaxed structure of NaH2Br (PBE, the Alexandria database).

The structure in POSCAR format:
```
NaH2Br
1.0
4.085 0.000 0.000
0.000 4.180 0.000
-0.216 0.000 9.438
Na H Br
2 4 2
Direct
0.243 0.250 0.354
0.757 0.750 0.646
0.246 0.660 0.973
0.246 0.840 0.973
0.754 0.160 0.027
0.754 0.340 0.027
0.258 0.250 0.668
0.742 0.750 0.332
```

## Properties
SG   P2_1/m (11)
Relative energy among the computed polymorphs   0.0000 eV/atom